1.
LaRu2Cl (GGA-PBE, optimized geometry); volume = 73.2 Å³ per cell; offset from the most stable computed form = 0.8633 eV per atom; E_form (uncorrected) = 0.63 eV/atom
1.0
3.1441 0.0000 0.0000
0.0000 3.1441 0.0000
0.0000 0.0000 7.4000
La Ru Cl
1 2 1
Direct
0.0000 0.0000 0.0000
0.5000 0.5000 0.2934
0.5000 0.5000 0.7066
0.0000 0.0000 0.5000

2.
LaRuCl2 (GGA-PBE, optimized geometry); volume = 107.9 Å³ per cell; offset from the most stable computed form = 0.0944 eV per atom; E_form (uncorrected) = -0.85 eV/atom
1.0
-1.8988 2.2497 6.3127
1.8988 -2.2497 6.3127
1.8988 2.2497 -6.3127
La Ru Cl
1 1 2
Direct
0.0000 0.0000 0.0000
0.5000 0.5000 0.0000
0.3540 0.8540 0.5000
0.6460 0.1460 0.5000

3.
La3RuCl (GGA-PBE, optimized geometry); volume = 172.6 Å³ per cell; offset from the most stable computed form = 0.3566 eV per atom; E_form (uncorrected) = -0.38 eV/atom
1.0
5.5678 0.0000 0.0000
0.0000 5.5678 0.0000
0.0000 0.0000 5.5678
La Ru Cl
3 1 1
Direct
0.0000 0.0000 0.5000
0.0000 0.5000 0.0000
0.5000 0.0000 0.0000
0.0000 0.0000 0.0000
0.5000 0.5000 0.5000

4.
LaRuCl2 (GGA-PBE, optimized geometry); volume = 105.2 Å³ per cell; offset from the most stable computed form = 0.0851 eV per atom; E_form (uncorrected) = -0.86 eV/atom
1.0
2.0663 1.1930 7.1102
-2.0663 1.1930 7.1102
0.0000 -2.3859 7.1102
La Ru Cl
1 1 2
Direct
0.0000 0.0000 0.0000
0.7457 0.7457 0.7457
0.2501 0.2501 0.2501
0.4289 0.4289 0.4289

5.
LaRuCl2 (GGA-PBE, optimized geometry); volume = 103.6 Å³ per cell; offset from the most stable computed form = 0.8262 eV per atom; E_form (uncorrected) = -0.12 eV/atom
1.0
1.9808 1.1436 7.6243
-1.9808 1.1436 7.6243
0.0000 -2.2873 7.6243
La Ru Cl
1 1 2
Direct
0.0000 0.0000 0.0000
0.5000 0.5000 0.5000
0.1217 0.1217 0.1217
0.8783 0.8783 0.8783

6.
LaRuCl2 (GGA-PBE, optimized geometry); volume = 94.5 Å³ per cell; offset from the most stable computed form = 0.5228 eV per atom; E_form (uncorrected) = -0.42 eV/atom
1.0
1.7416 1.0055 8.9970
-1.7416 1.0055 8.9970
0.0000 -2.0110 8.9970
La Ru Cl
1 1 2
Direct
0.0000 0.0000 0.0000
0.5000 0.5000 0.5000
0.4117 0.4117 0.4117
0.5883 0.5883 0.5883

7.
LaRuCl2 (GGA-PBE, optimized geometry); volume = 87.3 Å³ per cell; offset from the most stable computed form = 0.1942 eV per atom; E_form (uncorrected) = -0.75 eV/atom
1.0
2.9878 -3.4479 0.0000
2.9878 3.4479 0.0000
0.0000 0.0000 4.2374
La Ru Cl
1 1 2
Direct
0.0000 0.0000 0.0000
0.5000 0.5000 0.0000
0.2843 0.7157 0.5000
0.7157 0.2843 0.5000

8.
LaRu2Cl (GGA-PBE, optimized geometry); volume = 78.2 Å³ per cell; offset from the most stable computed form = 0.8569 eV per atom; E_form (uncorrected) = 0.62 eV/atom
1.0
1.7044 0.9840 7.7743
-1.7044 0.9840 7.7743
0.0000 -1.9680 7.7743
La Ru Cl
1 2 1
Direct
0.0000 0.0000 0.0000
0.2515 0.2515 0.2515
0.7485 0.7485 0.7485
0.5000 0.5000 0.5000

9.
LaRuCl2 (GGA-PBE, optimized geometry); volume = 119.1 Å³ per cell; offset from the most stable computed form = 0.0000 eV per atom; E_form (uncorrected) = -0.95 eV/atom
1.0
6.9420 -1.9119 0.0000
6.9420 1.9119 0.0000
-0.0135 0.0000 4.4871
La Ru Cl
1 1 2
Direct
0.0000 0.0000 0.0000
0.5000 0.5000 0.5000
0.3544 0.3544 0.7742
0.6456 0.6456 0.2258

10.
LaRuCl2 (GGA-PBE, optimized geometry); volume = 183.4 Å³ per cell; offset from the most stable computed form = 0.2808 eV per atom; E_form (uncorrected) = -0.67 eV/atom
1.0
-2.2837 2.2837 8.7914
2.2837 -2.2837 8.7914
2.2837 2.2837 -8.7914
La Ru Cl
2 2 4
Direct
0.0000 0.0000 0.0000
0.7500 0.2500 0.5000
0.2500 0.7500 0.5000
0.5000 0.5000 0.0000
0.1624 0.6250 0.0374
0.3750 0.4124 0.5374
0.5876 0.1250 0.9626
0.8750 0.8376 0.4626

11.
LaRuCl4 (GGA-PBE, optimized geometry); volume = 139.1 Å³ per cell; E_form (uncorrected) = 0.09 eV/atom
1.0
0.0000 4.1120 4.1120
4.1120 0.0000 4.1120
4.1120 4.1120 0.0000
La Ru Cl
1 1 4
Direct
0.0000 0.0000 0.0000
0.7500 0.7500 0.7500
0.3754 0.3754 0.3754
0.3754 0.3754 0.8737
0.3754 0.8737 0.3754
0.8737 0.3754 0.3754

12.
La4Ru2Cl (GGA-PBE, optimized geometry); volume = 212.0 Å³ per cell; E_form (uncorrected) = -0.69 eV/atom
1.0
2.0790 1.2003 14.1582
-2.0790 1.2003 14.1582
0.0000 -2.4006 14.1582
La Ru Cl
4 2 1
Direct
0.1251 0.1251 0.1251
0.2801 0.2801 0.2801
0.7199 0.7199 0.7199
0.8749 0.8749 0.8749
0.4238 0.4238 0.4238
0.5762 0.5762 0.5762
0.0000 0.0000 0.0000

13.
LaRu2Cl (GGA-PBE, optimized geometry); volume = 77.0 Å³ per cell; offset from the most stable computed form = 0.4901 eV per atom; E_form (uncorrected) = 0.25 eV/atom
1.0
0.0000 3.3764 3.3764
3.3764 0.0000 3.3764
3.3764 3.3764 0.0000
La Ru Cl
1 2 1
Direct
0.0000 0.0000 0.0000
0.5000 0.5000 0.5000
0.7500 0.7500 0.7500
0.2500 0.2500 0.2500

14.
La3RuCl (GGA-PBE, optimized geometry); volume = 623.7 Å³ per cell; offset from the most stable computed form = 0.0000 eV per atom; E_form (uncorrected) = -0.74 eV/atom
1.0
7.4866 -5.5190 0.0000
7.4866 5.5190 0.0000
-0.9281 0.0000 7.5474
La Ru Cl
12 4 4
Direct
0.0124 0.6341 0.3418
0.0371 0.7716 0.9033
0.2284 0.9629 0.5967
0.3056 0.3820 0.0828
0.3659 0.9876 0.1582
0.3820 0.3056 0.5828
0.6180 0.6944 0.4172
0.6341 0.0124 0.8418
0.6944 0.6180 0.9172
0.7716 0.0371 0.4033
0.9629 0.2284 0.0967
0.9876 0.3659 0.6582
0.1561 0.2624 0.3646
0.2624 0.1561 0.8646
0.7376 0.8439 0.1354
0.8439 0.7376 0.6354
0.2935 0.7065 0.2500
0.3703 0.6297 0.7500
0.6297 0.3703 0.2500
0.7065 0.2935 0.7500

15.
LaRuCl2 (GGA-PBE, optimized geometry); volume = 84.0 Å³ per cell; offset from the most stable computed form = 0.3623 eV per atom; E_form (uncorrected) = -0.58 eV/atom
1.0
3.6500 0.0000 0.0000
0.0000 4.4369 0.0000
0.0000 0.0000 5.1838
La Ru Cl
1 1 2
Direct
0.0000 0.0000 0.0000
0.5000 0.0000 0.5000
0.0000 0.5000 0.5000
0.5000 0.5000 0.0000

16.
LaRu2Cl (GGA-PBE, optimized geometry); volume = 95.4 Å³ per cell; offset from the most stable computed form = 0.0000 eV per atom; E_form (uncorrected) = -0.24 eV/atom
1.0
2.4187 -2.4261 0.0000
2.4187 2.4261 0.0000
0.0000 0.0000 8.1291
La Ru Cl
1 2 1
Direct
0.0000 0.0000 0.0000
0.0000 0.0000 0.6485
0.5000 0.5000 0.7404
0.5000 0.5000 0.2130

17.
LaRu2Cl (GGA-PBE, optimized geometry); volume = 75.0 Å³ per cell; offset from the most stable computed form = 0.4191 eV per atom; E_form (uncorrected) = 0.18 eV/atom
1.0
-2.6636 2.6636 2.6419
2.6636 -2.6636 2.6419
2.6636 2.6636 -2.6419
La Ru Cl
1 2 1
Direct
0.0000 0.0000 0.0000
0.5000 0.5000 0.0000
0.7500 0.2500 0.5000
0.2500 0.7500 0.5000

18.
LaRuCl2 (GGA-PBE, optimized geometry); volume = 100.4 Å³ per cell; offset from the most stable computed form = 0.1615 eV per atom; E_form (uncorrected) = -0.79 eV/atom
1.0
-1.7203 2.0754 7.0277
1.7203 -2.0754 7.0277
1.7203 2.0754 -7.0277
La Ru Cl
1 1 2
Direct
0.0000 0.0000 0.0000
0.1469 0.6469 0.5000
0.3992 0.3992 0.0000
0.6537 0.1537 0.5000

19.
LaRuCl2 (GGA-PBE, optimized geometry); volume = 89.7 Å³ per cell; offset from the most stable computed form = 0.2750 eV per atom; E_form (uncorrected) = -0.67 eV/atom
1.0
0.0000 3.4072 4.3494
3.0252 0.0000 4.3494
3.0252 3.4072 0.0000
La Ru Cl
1 1 2
Direct
0.0000 0.0000 0.0000
0.5000 0.5000 0.5000
0.0000 0.5000 0.5000
0.5000 0.0000 0.0000

20.
La6RuS2Cl3 (GGA-PBE, optimized geometry); volume = 316.8 Å³ per cell; E_form (uncorrected) = -1.58 eV/atom
1.0
9.3235 -2.0512 0.0000
9.3235 2.0512 0.0000
-2.0993 0.0000 8.2827
La Ru S Cl
6 1 2 3
Direct
0.0060 0.0060 0.2223
0.3266 0.3266 0.4293
0.3340 0.3340 0.9057
0.6660 0.6660 0.0943
0.6734 0.6734 0.5707
0.9940 0.9940 0.7777
0.5000 0.5000 0.0000
0.1678 0.1678 0.3338
0.8322 0.8322 0.6662
0.1629 0.1629 0.8245
0.5000 0.5000 0.5000
0.8371 0.8371 0.1755

21.
LaRuSCl2 (GGA-PBE, optimized geometry); volume = 168.4 Å³ per cell; offset from the most stable computed form = 0.5107 eV per atom; E_form (uncorrected) = -0.33 eV/atom
1.0
5.4863 0.0000 0.0000
0.0000 5.4863 0.0000
0.0000 0.0000 5.5961
La Ru S Cl
1 1 1 2
Direct
0.0000 0.0000 0.0000
0.5000 0.5000 0.5000
0.0000 0.0000 0.5000
0.0000 0.5000 0.0000
0.5000 0.0000 0.0000

22.
LaRuSCl2 (GGA-PBE, optimized geometry); volume = 105.1 Å³ per cell; offset from the most stable computed form = 0.0000 eV per atom; E_form (uncorrected) = -0.84 eV/atom
1.0
4.6761 0.0000 0.0000
0.0000 4.6761 0.0000
0.0000 0.0000 4.8046
La Ru S Cl
1 1 1 2
Direct
0.0000 0.0000 0.0000
0.5000 0.5000 0.5000
0.5000 0.5000 0.0000
0.0000 0.5000 0.5000
0.5000 0.0000 0.5000

23.
La8Ru3SCl4 (GGA-PBE, optimized geometry); volume = 455.5 Å³ per cell; E_form (uncorrected) = -1.23 eV/atom
1.0
4.1707 2.4080 7.5585
-4.1707 2.4080 7.5585
0.0000 -4.8160 7.5585
La Ru S Cl
8 3 1 4
Direct
0.2219 0.7411 0.7411
0.2377 0.2377 0.2377
0.2589 0.2589 0.7781
0.2589 0.7781 0.2589
0.7411 0.2219 0.7411
0.7411 0.7411 0.2219
0.7623 0.7623 0.7623
0.7781 0.2589 0.2589
0.0000 0.0000 0.5000
0.0000 0.5000 0.0000
0.5000 0.0000 0.0000
0.5000 0.5000 0.5000
0.0000 0.0000 0.0000
0.0000 0.5000 0.5000
0.5000 0.0000 0.5000
0.5000 0.5000 0.0000

24.
La3SbRuCl (GGA-PBE, optimized geometry); volume = 362.0 Å³ per cell; E_form (uncorrected) = -0.96 eV/atom
1.0
7.5463 0.0000 0.0000
0.0000 4.3124 0.0000
-2.7881 0.0000 11.1229
La Sb Ru Cl
6 2 2 2
Direct
0.0013 0.2500 0.1389
0.2258 0.7500 0.4957
0.4912 0.2500 0.1330
0.5088 0.7500 0.8670
0.7742 0.2500 0.5043
0.9987 0.7500 0.8611
0.1724 0.2500 0.6905
0.8276 0.7500 0.3095
0.2629 0.7500 0.0602
0.7371 0.2500 0.9398
0.3745 0.2500 0.3717
0.6255 0.7500 0.6283

25.
LaSc2RuCl (GGA-PBE, optimized geometry); volume = 143.9 Å³ per cell; E_form (uncorrected) = -0.35 eV/atom
1.0
4.9504 0.0000 0.0000
0.0000 4.9504 0.0000
0.0000 0.0000 5.8722
La Sc Ru Cl
1 2 1 1
Direct
0.0000 0.0000 0.0000
0.0000 0.5000 0.5000
0.5000 0.0000 0.5000
0.0000 0.0000 0.5000
0.5000 0.5000 0.0000

26.
La8Ru3SeCl4 (GGA-PBE, optimized geometry); volume = 463.4 Å³ per cell; E_form (uncorrected) = -1.20 eV/atom
1.0
4.2197 2.4363 7.5126
-4.2197 2.4363 7.5126
0.0000 -4.8725 7.5126
La Ru Se Cl
8 3 1 4
Direct
0.2150 0.7456 0.7456
0.2378 0.2378 0.2378
0.2544 0.2544 0.7850
0.2544 0.7850 0.2544
0.7456 0.2150 0.7456
0.7456 0.7456 0.2150
0.7622 0.7622 0.7622
0.7850 0.2544 0.2544
0.0000 0.0000 0.5000
0.0000 0.5000 0.0000
0.5000 0.0000 0.0000
0.5000 0.5000 0.5000
0.0000 0.0000 0.0000
0.0000 0.5000 0.5000
0.5000 0.0000 0.5000
0.5000 0.5000 0.0000

Number 1: size of the total moment 0.00 μB/f.u.. Number 2: size of the total moment 0.88 μB/f.u.. Number 3: size of the total moment 0.00 μB/f.u.. Number 4: size of the total moment 0.46 μB/f.u.. Number 5: size of the total moment 0.89 μB/f.u.. Number 6: size of the total moment 2.43 μB/f.u.. Number 7: size of the total moment 0.99 μB/f.u.. Number 8: size of the total moment 1.80 μB/f.u.. Number 9: size of the total moment 1.02 μB/f.u.. Number 10: size of the total moment 1.00 μB/f.u.. Number 11: size of the total moment 3.06 μB/f.u.. Number 12: size of the total moment 0.00 μB/f.u.. Number 13: size of the total moment 2.16 μB/f.u.. Number 14: size of the total moment 0.00 μB/f.u.. Number 15: size of the total moment 1.10 μB/f.u.. Number 16: size of the total moment 0.00 μB/f.u.. Number 17: size of the total moment 0.00 μB/f.u.. Number 18: size of the total moment 0.00 μB/f.u.. Number 19: size of the total moment 0.55 μB/f.u.. Number 20: size of the total moment 0.00 μB/f.u.. Number 21: size of the total moment 3.05 μB/f.u.. Number 22: size of the total moment 0.00 μB/f.u.. Number 23: size of the total moment 0.00 μB/f.u.. Number 24: size of the total moment 0.00 μB/f.u.. Number 25: size of the total moment 0.00 μB/f.u.. Number 26: size of the total moment 0.00 μB/f.u..